First-principles (PBE) data for a geometry-optimized LuThPd4 structure, as listed in Alexandria via LeMat-Bulk.

DOS at the Fermi energy   0.52 states/eV/atom
SG   F-43m (216)
M_tot   0.00 μB/f.u.

```
LuThPd4
1.0
5.476 0.000 0.000
2.738 4.742 0.000
2.738 1.581 4.471
Lu Pd Th
1 4 1
Direct
0.250 0.250 0.250
0.625 0.625 0.126
0.625 0.126 0.625
0.625 0.625 0.625
0.126 0.625 0.625
0.000 0.000 0.000
```

First-principles (PBE) data for a geometry-optimized LuThZnPd structure, as listed in Alexandria via LeMat-Bulk.

DOS at the Fermi energy   0.93 states/eV/atom
SG   F-43m (216)
M_tot   0.00 μB/f.u.

```
LuThZnPd
1.0
-1.758 4.297 2.008
-3.200 2.899 -2.635
-4.848 0.338 1.403
Zn Lu Th Pd
1 1 1 1
Direct
0.500 0.500 0.500
0.250 0.250 0.250
0.750 0.750 0.750
0.000 0.000 0.000
```

First-principles (PBE) data for a geometry-optimized LuTiPd2 structure, as listed in Alexandria via LeMat-Bulk.

DOS at the Fermi energy   0.94 states/eV/atom
SG   P4/mmm (123)
Distance to the lowest polymorph of the same formula   0.12 eV/f.u.
M_tot   0.83 μB/f.u.

```
LuTiPd2
1.0
3.205 0.000 0.000
0.000 4.751 0.000
0.000 0.000 4.751
Lu Pd Ti
1 2 1
Direct
0.500 0.500 0.500
0.000 0.000 0.500
0.000 0.500 0.000
0.500 0.000 0.000
```

First-principles (PBE) data for a geometry-optimized Lu2TiPd structure, as listed in Alexandria via LeMat-Bulk.

DOS at the Fermi energy   1.25 states/eV/atom
SG   P4/mmm (123)
Distance to the lowest polymorph of the same formula   0.00 eV/f.u.
M_tot   0.01 μB/f.u.

```
Lu2TiPd
1.0
3.428 0.000 0.000
0.000 3.428 0.000
0.000 0.000 7.321
Lu Pd Ti
2 1 1
Direct
0.000 0.000 0.769
0.000 0.000 0.231
0.500 0.500 0.000
0.500 0.500 0.500
```

First-principles (PBE) data for a geometry-optimized LuTiPd2 structure, as listed in Alexandria via LeMat-Bulk.

DOS at the Fermi energy   0.99 states/eV/atom
SG   R-3m (166)
Distance to the lowest polymorph of the same formula   0.10 eV/f.u.
M_tot   0.00 μB/f.u.

```
LuTiPd2
1.0
4.500 0.000 0.000
2.250 3.897 0.000
2.250 1.299 4.298
Lu Pd Ti
1 2 1
Direct
0.500 0.500 0.500
0.721 0.721 0.836
0.279 0.279 0.164
0.000 0.000 0.000
```

First-principles (PBE) data for a geometry-optimized LuTiPd2 structure, as listed in Alexandria via LeMat-Bulk.

DOS at the Fermi energy   1.05 states/eV/atom
SG   P4/mmm (123)
Distance to the lowest polymorph of the same formula   0.00 eV/f.u.
M_tot   0.05 μB/f.u.

```
LuTiPd2
1.0
3.254 0.000 0.000
0.000 3.254 0.000
0.000 0.000 6.844
Lu Pd Ti
1 2 1
Direct
0.500 0.500 0.500
0.000 0.000 0.784
0.000 0.000 0.216
0.500 0.500 0.000
```

First-principles (PBE) data for a geometry-optimized Lu2TiPd structure, as listed in Alexandria via LeMat-Bulk.

DOS at the Fermi energy   1.24 states/eV/atom
SG   P4/mmm (123)
Distance to the lowest polymorph of the same formula   0.27 eV/f.u.
M_tot   1.82 μB/f.u.

```
Lu2TiPd
1.0
3.506 0.000 0.000
0.000 4.943 0.000
0.000 0.000 4.943
Lu Pd Ti
2 1 1
Direct
0.000 0.000 0.500
0.000 0.500 0.000
0.500 0.500 0.500
0.500 0.000 0.000
```

First-principles (PBE) data for a geometry-optimized LuTlPd structure, as listed in Alexandria via LeMat-Bulk.

DOS at the Fermi energy   0.99 states/eV/atom
SG   F-43m (216)
M_tot   0.00 μB/f.u.

```
LuTlPd
1.0
4.696 0.000 0.000
2.348 4.067 0.000
2.348 1.356 3.834
Tl Lu Pd
1 1 1
Direct
0.500 0.500 0.500
0.000 0.000 0.000
0.250 0.250 0.250
```

Across the entries above, formation energy from the elements takes the values -771.1; -491.0; -653.0; -361.7; -658.4; -682.7; -293.3; -512.0 meV per atom, respectively.
Across the entries above, E takes the values -6.22; -5.09; -6.35; -5.89; -6.36; -6.38; -5.83; -4.54 eV per atom, respectively.